The following is a DFT calculation (GGA-PBE) of crystalline LaHfPt2 at its relaxed geometry.

The structure in CIF format:
```
data_LaHfPt2
_chemical_formula_sum 'La4 Hf4 Pt8'
_space_group_name_H-M_alt 'I -4 2 d'
_space_group_IT_number 122
_space_group_name_Hall 'I -4 2bw'
_cell_length_a 6.318
_cell_length_b 6.318
_cell_length_c 12.473
_cell_angle_alpha 90.00
_cell_angle_beta 90.00
_cell_angle_gamma 90.00
loop_
_atom_site_label
_atom_site_fract_x
_atom_site_fract_y
_atom_site_fract_z
La1 0.000 0.000 0.000
Hf1 0.000 0.000 0.500
Pt1 0.212 0.250 0.625
```

Properties
The calculation puts the theoretical density at 9.4 g/cm³. As for the crystal system: tetragonal. As for the size of the total moment: 0.00 μB per formula unit. As for the energy above the most stable polymorph in this dataset: 62.5 kJ per mole of atoms. The formation energy is -0.4141 eV per atom. The value obtained for the total energy is -7.1548 eV/atom.